Entry 1:
Compound: ZrP3S
Source: the Alexandria database
Functional: GGA-PBE
Structure: optimized geometry

Computed properties:
Its density of states at the Fermi level is 0.66 states/eV per atom. The value obtained for the total energy is -5.41 eV per atom. As for the calculated volume: 17.7 Å³ per atom. As for the symmetry: No. 221. The calculation puts the total magnetization at 0.0 μB per formula unit.

a = 4.4550 Å, b = 4.4550 Å, c = 4.4550 Å
α = 90.00°, β = 90.00°, γ = 90.00°
With the nearest neighbours (Å) after each atom.
Sites, in units of the cell vectors:
Zr (0.0000, 0.0000, 0.0000)  12 P 3.15
P (0.0000, 0.5000, 0.5000)  2 S 2.23
P (0.5000, 0.0000, 0.5000)  2 S 2.23
P (0.5000, 0.5000, 0.0000)  2 S 2.23
S (0.5000, 0.5000, 0.5000)  6 P 2.23

Entry 2:
Compound: ZrPS3
Source: the Alexandria database
Functional: GGA-PBE
Structure: optimized geometry

Computed properties:
Its density of states at the Fermi level is 0.85 states/eV per atom. The value obtained for the total energy is -5.16 eV per atom. As for the calculated volume: 24.7 Å³ per atom. As for the symmetry: No. 221. The calculation puts the total magnetization at 1.2 μB per formula unit.

a = 4.9781 Å, b = 4.9781 Å, c = 4.9781 Å
α = 90.00°, β = 90.00°, γ = 90.00°
With the nearest neighbours (Å) after each atom.
Sites, in units of the cell vectors:
Zr (0.0000, 0.0000, 0.0000)  6 S 2.49
P (0.5000, 0.5000, 0.5000)  12 S 3.52
S (0.0000, 0.0000, 0.5000)  2 Zr 2.49
S (0.0000, 0.5000, 0.0000)  2 Zr 2.49
S (0.5000, 0.0000, 0.0000)  2 Zr 2.49

Entry 3:
Compound: ZrP2S2
Source: the Alexandria database
Functional: GGA-PBE
Structure: optimized geometry

Computed properties:
Its density of states at the Fermi level is 0.62 states/eV per atom. The value obtained for the total energy is -5.23 eV per atom. As for the calculated volume: 17.8 Å³ per atom. As for the symmetry: No. 123. The calculation puts the total magnetization at 0.0 μB per formula unit.

a = 4.4903 Å, b = 4.4903 Å, c = 4.4122 Å
α = 90.00°, β = 90.00°, γ = 90.00°
With the nearest neighbours (Å) after each atom.
Sites, in units of the cell vectors:
Zr (0.0000, 0.0000, 0.0000)  8 P 3.15, 4 S 3.18
P (0.0000, 0.5000, 0.5000)  2 S 2.25
P (0.5000, 0.0000, 0.5000)  2 S 2.25
S (0.5000, 0.5000, 0.0000)  2 S 2.21
S (0.5000, 0.5000, 0.5000)  2 S 2.21, 4 P 2.25

Entry 4:
Compound: ZrPS3
Source: the Alexandria database
Functional: GGA-PBE
Structure: optimized geometry

Computed properties:
Its density of states at the Fermi level is 0.68 states/eV per atom. The value obtained for the total energy is -5.33 eV per atom. As for the calculated volume: 17.7 Å³ per atom. As for the symmetry: No. 221. The calculation puts the total magnetization at 1.0 μB per formula unit.

a = 4.4600 Å, b = 4.4600 Å, c = 4.4600 Å
α = 90.00°, β = 90.00°, γ = 90.00°
With the nearest neighbours (Å) after each atom.
Sites, in units of the cell vectors:
Zr (0.0000, 0.0000, 0.0000)  12 S 3.15
P (0.5000, 0.5000, 0.5000)  6 S 2.23
S (0.0000, 0.5000, 0.5000)  2 P 2.23
S (0.5000, 0.0000, 0.5000)  2 P 2.23
S (0.5000, 0.5000, 0.0000)  2 P 2.23

Entry 5:
Compound: Zr6P2S
Source: the Alexandria database
Functional: GGA-PBE
Structure: optimized geometry

Computed properties:
Its density of states at the Fermi level is 0.89 states/eV per atom. The value obtained for the total energy is -8.41 eV per atom. As for the calculated volume: 19.5 Å³ per atom. As for the symmetry: No. 12. The calculation puts the total magnetization at 0.0 μB per formula unit.

a = 6.0298 Å, b = 6.0298 Å, c = 8.4738 Å
α = 91.47°, β = 91.47°, γ = 34.81°
With the nearest neighbours (Å) after each atom.
Sites, in units of the cell vectors:
Zr (0.0669, 0.0669, 0.2218)  1 S 2.50, 2 P 2.69
Zr (0.3501, 0.3501, 0.4400)  2 S 2.54, 2 P 2.74
Zr (0.3546, 0.3546, 0.0640)  3 P 2.72-2.80
Zr (0.6454, 0.6454, 0.9360)  3 P 2.72-2.80
Zr (0.6499, 0.6499, 0.5600)  2 S 2.54, 2 P 2.74
Zr (0.9331, 0.9331, 0.7782)  1 S 2.50, 2 P 2.69
P (0.2600, 0.2600, 0.7562)  8 Zr 2.69-2.90
P (0.7400, 0.7400, 0.2438)  8 Zr 2.69-2.90
S (0.0000, 0.0000, 0.5000)  6 Zr 2.50-2.54

Entry 6:
Compound: ZrPS
Source: the Alexandria database
Functional: GGA-PBE
Structure: optimized geometry

Computed properties:
Its density of states at the Fermi level is 0.65 states/eV per atom. The value obtained for the total energy is -6.89 eV per atom. As for the calculated volume: 16.6 Å³ per atom. As for the symmetry: No. 107. The calculation puts the total magnetization at 0.0 μB per formula unit.

a = 4.8682 Å, b = 4.8682 Å, c = 4.8682 Å
α = 138.68°, β = 138.68°, γ = 59.86°
With the nearest neighbours (Å) after each atom.
Sites, in units of the cell vectors:
Zr (0.0000, 0.0000, 0.0000)  5 S 2.77-2.88, 5 P 2.77-2.88
P (0.6588, 0.6588, 0.0000)  5 S 2.68-2.88, 5 Zr 2.77-2.88
S (0.3414, 0.3414, 0.0000)  5 P 2.68-2.88, 5 Zr 2.77-2.88